Entry 1:
Computed, not measured: a relaxed TbHo2Hg6 crystal at the PBE level of DFT.

Unit cell a=9.258 b=9.258 c=5.425 alpha=97.74 beta=97.74 gamma=78.25
Atoms (fractional coordinates):
Tb1 0.126 0.874 0.750
Tb2 0.874 0.126 0.250
Ho1 0.208 0.458 0.916
Ho2 0.458 0.208 0.416
Ho3 0.542 0.792 0.584
Ho4 0.792 0.542 0.084
Hg1 0.014 0.762 0.196
Hg2 0.098 0.348 0.362
Hg3 0.238 0.986 0.304
Hg4 0.320 0.569 0.471
Hg5 0.348 0.098 0.862
Hg6 0.431 0.680 0.029
Hg7 0.569 0.320 0.971
Hg8 0.652 0.902 0.138
Hg9 0.680 0.431 0.529
Hg10 0.762 0.014 0.696
Hg11 0.902 0.652 0.638
Hg12 0.986 0.238 0.804

**Symmetry**: No. 15
**DOS(E_F)**: 0.436 states/eV per atom
**E**: -38.29 eV per cell
**Energy of formation**: -0.39 eV per atom

***

Entry 2:
Computed, not measured: a relaxed InTe crystal at the PBE level of DFT.

Unit cell a=4.336 b=4.336 c=8.175 alpha=90.00 beta=90.00 gamma=120.00
Atoms (fractional coordinates):
In1 0.333 0.667 0.144
In2 0.667 0.333 0.856
Te1 0.333 0.667 0.661
Te2 0.667 0.333 0.339

**E_form (uncorrected)**: -0.096 eV per atom
**Symmetry**: No. 164
**DOS(E_F)**: 0.549 states/eV per atom
**E**: -12.15 eV per cell

***

Entry 3:
Computed, not measured: a relaxed Tb7Mg2Ni2 crystal at the PBE level of DFT.

Unit cell a=6.811 b=6.811 c=7.182 alpha=90.00 beta=90.00 gamma=109.83
Atoms (fractional coordinates):
Tb1 0.000 0.000 0.000
Tb2 0.000 0.500 0.244
Tb3 0.000 0.500 0.756
Tb4 0.500 0.000 0.244
Tb5 0.500 0.000 0.756
Tb6 0.500 0.500 0.232
Tb7 0.500 0.500 0.768
Mg1 0.175 0.175 0.500
Mg2 0.825 0.825 0.500
Ni1 0.295 0.705 0.000
Ni2 0.705 0.295 0.000

**Symmetry**: No. 65
**DOS(E_F)**: 1.080 states/eV per atom
**E**: -47.61 eV per cell
**Energy of formation**: -0.04 eV per atom